DFT (GGA-PBE) results for a relaxed structure of RbCeBr3.

Output
Symmetry: Pm-3m, No. 221
E_form (uncorrected), meV/atom: -1554.8
Offset from the most stable computed form, eV/f.u.: 0.59
E_tot, eV for the cell shown: -19.7
Magnetization, μB per formula unit: 1.93
Theoretical density, g cm⁻³: 3.711

Lattice parameters (Å, degrees): 5.9268 5.9268 5.9268 90.00 90.00 90.00
With the nearest neighbours (Å) after each atom.
Sites, in units of the cell vectors:
Rb 0.0000 0.0000 0.0000  12 Br 4.19
Ce 0.5000 0.5000 0.5000  6 Br 2.96
Br 0.0000 0.5000 0.5000  2 Ce 2.96
Br 0.5000 0.0000 0.5000  2 Ce 2.96
Br 0.5000 0.5000 0.0000  2 Ce 2.96

---

DFT (GGA-PBE) results for a relaxed structure of Ba4Zn2N.

Output
Symmetry: I4/mmm, No. 139
E_form (uncorrected), meV/atom: -144.2
E_tot, eV for the cell shown: -19.6
Magnetization, μB per formula unit: 0.06
Theoretical density, g cm⁻³: 4.371

Lattice parameters (Å, degrees): 9.1618 9.1618 9.1618 144.04 144.04 51.77
With the nearest neighbours (Å) after each atom.
Sites, in units of the cell vectors:
Ba 0.0000 0.5000 0.5000  2 N 2.83
Ba 0.1647 0.1647 0.0000  1 N 2.72
Ba 0.5000 0.0000 0.5000  2 N 2.83
Ba 0.8353 0.8353 0.0000  1 N 2.72
Zn 0.3733 0.3733 0.0000  5 Ba 3.44-3.52
Zn 0.6267 0.6267 0.0000  5 Ba 3.44-3.52
N 0.0000 0.0000 0.0000  6 Ba 2.72-2.83

---

DFT (GGA-PBE) results for a relaxed structure of AlInAgS4.

Output
Symmetry: I-4, No. 82
E_form (uncorrected), meV/atom: -498.8
E_tot, eV for the cell shown: -29.3
Magnetization, μB per formula unit: 0.00
Theoretical density, g cm⁻³: 3.574

Lattice parameters (Å, degrees): 6.4528 6.4528 6.4528 124.43 124.43 82.48
With the nearest neighbours (Å) after each atom.
Sites, in units of the cell vectors:
Al 0.0000 0.0000 0.0000  4 S 2.27
In 0.7500 0.2500 0.5000  4 S 2.49
Ag 0.2500 0.7500 0.5000  4 S 2.53
S 0.1168 0.6507 0.9952  1 Al 2.27, 1 In 2.49, 1 Ag 2.53
S 0.3493 0.3444 0.4660  1 Al 2.27, 1 In 2.49, 1 Ag 2.53
S 0.6556 0.1216 0.0048  1 Al 2.27, 1 In 2.49, 1 Ag 2.53
S 0.8784 0.8832 0.5340  1 Al 2.27, 1 In 2.49, 1 Ag 2.53

---

DFT (GGA-PBE) results for a relaxed structure of Re2RhW2.

Output
Symmetry: P4/mbm, No. 127
Offset from the most stable computed form, eV/f.u.: 0.00
E_tot, eV for the cell shown: -112.4
Magnetization, μB per formula unit: 0.00
Formation enthalpy at 0 K, eV/atom: 0.386
Theoretical density, g cm⁻³: 17.141

Lattice parameters (Å, degrees): 7.4382 7.4382 2.9521 90.00 90.00 90.00
With the nearest neighbours (Å) after each atom.
Sites, in units of the cell vectors:
Re 0.1396 0.3604 0.0000  6 W 2.58-2.68, 2 Rh 2.88
Re 0.3604 0.8604 0.0000  6 W 2.58-2.68, 2 Rh 2.88
Re 0.6396 0.1396 0.0000  6 W 2.58-2.68, 2 Rh 2.88
Re 0.8604 0.6396 0.0000  6 W 2.58-2.68, 2 Rh 2.88
Rh 0.0000 0.0000 0.0000  4 Re 2.88, 2 Rh 2.95, 8 W 3.16
Rh 0.5000 0.5000 0.0000  4 Re 2.88, 2 Rh 2.95, 8 W 3.16
W 0.1598 0.6598 0.5000  6 Re 2.58-2.68
W 0.3402 0.1598 0.5000  6 Re 2.58-2.68
W 0.6598 0.8402 0.5000  6 Re 2.58-2.68
W 0.8402 0.3402 0.5000  6 Re 2.58-2.68

---

DFT (GGA-PBE) results for a relaxed structure of Sr3NiBi.

Output
Symmetry: Pm-3m, No. 221
Offset from the most stable computed form, eV/f.u.: 0.00
E_tot, eV for the cell shown: -16.2
Magnetization, μB per formula unit: 0.00
Formation enthalpy at 0 K, eV/atom: -0.293
Theoretical density, g cm⁻³: 4.926

Lattice parameters (Å, degrees): 5.6340 5.6340 5.6340 90.00 90.00 90.00
With the nearest neighbours (Å) after each atom.
Sites, in units of the cell vectors:
Sr 0.0000 0.0000 0.5000  2 Ni 2.82
Sr 0.0000 0.5000 0.0000  2 Ni 2.82
Sr 0.5000 0.0000 0.0000  2 Ni 2.82
Ni 0.0000 0.0000 0.0000  6 Sr 2.82
Bi 0.5000 0.5000 0.5000  12 Sr 3.98

---

DFT (GGA-PBE) results for a relaxed structure of LiAc6Ge3.

Output
Symmetry: P2_1/c, No. 14
E_tot, eV for the cell shown: -87.2
Magnetization, μB per formula unit: 0.00
Formation enthalpy at 0 K, eV/atom: -0.316
Theoretical density, g cm⁻³: 7.278

Lattice parameters (Å, degrees): 7.9085 8.5610 12.8146 90.00 123.43 90.00
With the nearest neighbours (Å) after each atom.
Sites, in units of the cell vectors:
Li 0.0000 0.0000 0.0000  6 Ac 3.22-3.42
Li 0.0000 0.5000 0.5000  6 Ac 3.22-3.42
Ac 0.1058 0.1696 0.4295  3 Ge 3.09-3.38, 1 Li 3.22
Ac 0.1058 0.3304 0.9295  3 Ge 3.09-3.38, 1 Li 3.22
Ac 0.2751 0.6810 0.4248  3 Ge 3.11-3.42, 1 Li 3.22
Ac 0.2751 0.8190 0.9248  3 Ge 3.11-3.42, 1 Li 3.22
Ac 0.4669 0.0884 0.2573  3 Ge 3.07-3.29, 1 Li 3.42
Ac 0.4669 0.4116 0.7573  3 Ge 3.07-3.29, 1 Li 3.42
Ac 0.5331 0.5884 0.2427  3 Ge 3.07-3.29, 1 Li 3.42
Ac 0.5331 0.9116 0.7427  3 Ge 3.07-3.29, 1 Li 3.42
Ac 0.7249 0.1810 0.0752  3 Ge 3.11-3.42, 1 Li 3.22
Ac 0.7249 0.3190 0.5752  3 Ge 3.11-3.42, 1 Li 3.22
Ac 0.8942 0.6696 0.0705  3 Ge 3.09-3.38, 1 Li 3.22
Ac 0.8942 0.8304 0.5705  3 Ge 3.09-3.38, 1 Li 3.22
Ge 0.1763 0.1240 0.7312  7 Ac 3.24-3.61
Ge 0.1763 0.3760 0.2312  7 Ac 3.24-3.61
Ge 0.5000 0.0000 0.5000  6 Ac 3.07-3.11
Ge 0.5000 0.5000 0.0000  6 Ac 3.07-3.11
Ge 0.8237 0.6240 0.7688  7 Ac 3.24-3.61
Ge 0.8237 0.8760 0.2688  7 Ac 3.24-3.61

---

DFT (GGA-PBE) results for a relaxed structure of La5Nd6Mg2.

Output
Symmetry: Pbam, No. 55
E_tot, eV for the cell shown: -110.1
Magnetization, μB per formula unit: 0.00
Formation enthalpy at 0 K, eV/atom: 0.106
Theoretical density, g cm⁻³: 5.875

Lattice parameters (Å, degrees): 10.8535 23.2209 3.6079 90.00 90.00 90.00
With the nearest neighbours (Å) after each atom.
Sites, in units of the cell vectors:
La 0.0000 0.0000 0.0000  4 La 3.57-3.61, 6 Nd 3.63-3.65
La 0.0828 0.2519 0.0000  4 Mg 3.27-3.28, 2 La 3.61
La 0.1715 0.5036 0.0000  4 La 3.57-3.73, 7 Nd 3.67-3.74
La 0.3285 0.0036 0.0000  4 La 3.57-3.73, 7 Nd 3.67-3.74
La 0.4172 0.7519 0.0000  4 Mg 3.27-3.28, 2 La 3.61
La 0.5000 0.5000 0.0000  4 La 3.57-3.61, 6 Nd 3.63-3.65
La 0.5828 0.2481 0.0000  4 Mg 3.27-3.28, 2 La 3.61
La 0.6715 0.9964 0.0000  4 La 3.57-3.73, 7 Nd 3.67-3.74
La 0.8285 0.4964 0.0000  4 La 3.57-3.73, 7 Nd 3.67-3.74
La 0.9172 0.7481 0.0000  4 Mg 3.27-3.28, 2 La 3.61
Nd 0.0155 0.3870 0.5000  1 Mg 3.50, 4 Nd 3.61-3.91, 6 La 3.67-3.72
Nd 0.1474 0.1168 0.5000  1 Mg 3.44, 2 Nd 3.61, 6 La 3.63-3.74
Nd 0.1686 0.8642 0.0000  2 Mg 3.46, 2 Nd 3.61, 4 La 3.65-3.84
Nd 0.3314 0.3642 0.0000  2 Mg 3.46, 2 Nd 3.61, 4 La 3.65-3.84
Nd 0.3526 0.6168 0.5000  1 Mg 3.44, 2 Nd 3.61, 6 La 3.63-3.74
Nd 0.4845 0.8870 0.5000  1 Mg 3.50, 4 Nd 3.61-3.91, 6 La 3.67-3.72
Nd 0.5155 0.1130 0.5000  1 Mg 3.50, 4 Nd 3.61-3.91, 6 La 3.67-3.72
Nd 0.6474 0.3832 0.5000  1 Mg 3.44, 2 Nd 3.61, 6 La 3.63-3.74
Nd 0.6686 0.6358 0.0000  2 Mg 3.46, 2 Nd 3.61, 4 La 3.65-3.84
Nd 0.8314 0.1358 0.0000  2 Mg 3.46, 2 Nd 3.61, 4 La 3.65-3.84
Nd 0.8526 0.8832 0.5000  1 Mg 3.44, 2 Nd 3.61, 6 La 3.63-3.74
Nd 0.9845 0.6130 0.5000  1 Mg 3.50, 4 Nd 3.61-3.91, 6 La 3.67-3.72
Mg 0.1669 0.7371 0.5000  4 La 3.27-3.28, 4 Nd 3.44-3.50, 2 Mg 3.61
Mg 0.3331 0.2371 0.5000  4 La 3.27-3.28, 4 Nd 3.44-3.50, 2 Mg 3.61
Mg 0.6669 0.7629 0.5000  4 La 3.27-3.28, 4 Nd 3.44-3.50, 2 Mg 3.61
Mg 0.8331 0.2629 0.5000  4 La 3.27-3.28, 4 Nd 3.44-3.50, 2 Mg 3.61

---

DFT (GGA-PBE) results for a relaxed structure of SrRe2Tc.

Output
Symmetry: F-43m, No. 216
Offset from the most stable computed form, eV/f.u.: 1.18
E_tot, eV for the cell shown: -33.2
Magnetization, μB per formula unit: 0.00
Formation enthalpy at 0 K, eV/atom: 0.945
Theoretical density, g cm⁻³: 13.416

Lattice parameters (Å, degrees): 4.6054 4.6054 4.6054 60.00 60.00 60.00
With the nearest neighbours (Å) after each atom.
Sites, in units of the cell vectors:
Sr 0.0000 0.0000 0.0000  4 Tc 2.82, 4 Re 2.82
Re 0.2500 0.2500 0.2500  4 Re 2.82, 4 Sr 2.82
Re 0.5000 0.5000 0.5000  4 Tc 2.82, 4 Re 2.82
Tc 0.7500 0.7500 0.7500  4 Re 2.82, 4 Sr 2.82

---

Q: E_tot of number 8 (SrRe2Tc)?
A: -33.2 eV for the cell shown

---

Q: Which of these has the highest magnetization?
A: RbCeBr3

---

Q: Among the records above, which one has the highest theoretical density?
A: Re2RhW2

---

Q: Look up the theoretical density of the second one.
A: 4.371 g cm⁻³